one) Below is a relaxed structure of Gd2YCu4Sn2Ge2, with properties calculated at the PBE level.

Unit cell a=8.2659 b=8.2659 c=8.2659 alpha=149.71 beta=130.62 gamma=59.04
Positions (direct):
Gd 0.1360 0.1360 0.0000
Gd 0.8640 0.8640 0.0000
Y 0.5000 0.0000 0.5000
Cu 0.1371 0.3239 0.8132
Cu 0.4893 0.6761 0.8132
Cu 0.5107 0.3239 0.1868
Cu 0.8629 0.6761 0.1868
Sn 0.2022 0.5000 0.7022
Sn 0.7978 0.5000 0.2978
Ge 0.2842 0.7842 0.5000
Ge 0.7158 0.2158 0.5000

=====

two) Below is a relaxed structure of Gd2YCu4Sn2Ge2, with properties calculated at the PBE level.

Unit cell a=8.3037 b=8.3037 c=8.3037 alpha=149.40 beta=132.30 gamma=57.74
Positions (direct):
Gd 0.1256 0.1256 0.0000
Gd 0.8744 0.8744 0.0000
Y 0.5000 0.0000 0.5000
Cu 0.1515 0.3407 0.8108
Cu 0.4702 0.6593 0.8108
Cu 0.5298 0.3407 0.1892
Cu 0.8485 0.6593 0.1892
Sn 0.2825 0.7825 0.5000
Sn 0.7175 0.2175 0.5000
Ge 0.1910 0.5000 0.6910
Ge 0.8090 0.5000 0.3090

=====

two) (68 meV/atom below the next structure)

=====

one) Below is a relaxed structure of HfBeBi, with properties calculated at the PBE level.

Unit cell a=4.6927 b=4.6927 c=4.6927 alpha=60.00 beta=60.00 gamma=60.00
Positions (direct):
Hf 0.0000 0.0000 0.0000
Be 0.7500 0.7500 0.7500
Bi 0.2500 0.2500 0.2500

=====

two) Below is a relaxed structure of HfBeBi, with properties calculated at the PBE level.

Unit cell a=4.6854 b=4.6854 c=4.6854 alpha=60.00 beta=60.00 gamma=60.00
Positions (direct):
Hf 0.0000 0.0000 0.0000
Be 0.5000 0.5000 0.5000
Bi 0.7500 0.7500 0.7500

=====

one) (290 meV/atom below the next structure)

=====

one) Below is a relaxed structure of Cu2Ag, with properties calculated at the PBE level.

Unit cell a=4.6887 b=4.6887 c=8.0952 alpha=107.27 beta=107.27 gamma=48.12
Positions (direct):
Cu 0.0057 0.0057 0.1749
Cu 0.3330 0.3330 0.6081
Cu 0.3342 0.3342 0.2852
Cu 0.6658 0.6658 0.7148
Cu 0.6670 0.6670 0.3919
Cu 0.9943 0.9943 0.8251
Ag 0.0000 0.0000 0.5000
Ag 0.3309 0.3309 0.9356
Ag 0.6691 0.6691 0.0644

=====

two) Below is a relaxed structure of Cu2Ag, with properties calculated at the PBE level.

Unit cell a=4.8900 b=4.8900 c=10.1331 alpha=110.03 beta=110.03 gamma=33.38
Positions (direct):
Cu 0.0061 0.0061 0.3701
Cu 0.3177 0.3177 0.4367
Cu 0.3589 0.3589 0.7553
Cu 0.6411 0.6411 0.2447
Cu 0.6823 0.6823 0.5633
Cu 0.9939 0.9939 0.6299
Ag 0.0000 0.0000 0.0000
Ag 0.3252 0.3252 0.1413
Ag 0.6748 0.6748 0.8587

=====

two) (35 meV/atom below the next structure)

=====

one) Below is a relaxed structure of Cu7Ag3, with properties calculated at the PBE level.

Unit cell a=7.1663 b=7.1663 c=7.4050 alpha=104.78 beta=104.78 gamma=21.88
Positions (direct):
Cu 0.0000 0.0000 0.0000
Cu 0.0024 0.0024 0.4946
Cu 0.2088 0.2088 0.0920
Cu 0.4049 0.4049 0.2026
Cu 0.6019 0.6019 0.8212
Cu 0.8058 0.8058 0.3796
Cu 0.8087 0.8087 0.9255
Ag 0.2032 0.2032 0.6191
Ag 0.4047 0.4047 0.6971
Ag 0.6046 0.6046 0.2891

=====

two) Below is a relaxed structure of Cu7Ag3, with properties calculated at the PBE level.

Unit cell a=3.8360 b=9.5228 c=9.5228 alpha=23.24 beta=90.00 gamma=90.00
Positions (direct):
Cu 0.0000 0.0000 0.0000
Cu 0.0000 0.1766 0.1766
Cu 0.0000 0.4012 0.4012
Cu 0.0000 0.5882 0.5882
Cu 0.5000 0.0881 0.0881
Cu 0.5000 0.5000 0.5000
Cu 0.5000 0.6768 0.6768
Ag 0.0000 0.7838 0.7838
Ag 0.5000 0.2837 0.2837
Ag 0.5000 0.8998 0.8998

=====

two) (21 meV/atom below the next structure)

=====

one) Below is a relaxed structure of Cu5Ag4, with properties calculated at the PBE level.

Unit cell a=4.7512 b=4.7512 c=11.2611 alpha=112.35 beta=112.35 gamma=33.96
Positions (direct):
Cu 0.0000 0.0000 0.0000
Cu 0.1206 0.1206 0.4579
Cu 0.3610 0.3610 0.3527
Cu 0.6390 0.6390 0.6473
Cu 0.8794 0.8794 0.5421
Ag 0.2155 0.2155 0.8815
Ag 0.4209 0.4209 0.7581
Ag 0.5791 0.5791 0.2419
Ag 0.7845 0.7845 0.1185

=====

two) Below is a relaxed structure of Cu5Ag4, with properties calculated at the PBE level.

Unit cell a=4.7660 b=4.7660 c=11.2755 alpha=112.64 beta=112.64 gamma=33.88
Positions (direct):
Cu 0.0000 0.0000 0.0000
Cu 0.2384 0.2384 0.8838
Cu 0.5194 0.5194 0.1886
Cu 0.6767 0.6767 0.6697
Cu 0.7585 0.7585 0.0752
Ag 0.0984 0.0984 0.4255
Ag 0.2991 0.2991 0.2917
Ag 0.4608 0.4608 0.7861
Ag 0.8928 0.8928 0.5500

=====

two) (7 meV/atom below the next structure)

=====

one) Below is a relaxed structure of NaScZnS3, with properties calculated at the PBE level.

Unit cell a=9.2407 b=3.8064 c=14.1699 alpha=90.00 beta=90.00 gamma=90.00
Positions (direct):
Na 0.0247 0.2500 0.1616
Na 0.4753 0.7500 0.6616
Na 0.5247 0.2500 0.3384
Na 0.9753 0.7500 0.8384
Sc 0.1849 0.7500 0.4544
Sc 0.3151 0.2500 0.9544
Sc 0.6849 0.7500 0.0456
Sc 0.8151 0.2500 0.5456
Zn 0.1489 0.2500 0.6510
Zn 0.3511 0.7500 0.1510
Zn 0.6489 0.2500 0.8490
Zn 0.8511 0.7500 0.3490
S 0.0019 0.7500 0.6035
S 0.1740 0.7500 0.0361
S 0.1875 0.2500 0.8062
S 0.3125 0.7500 0.3062
S 0.3260 0.2500 0.5361
S 0.4981 0.2500 0.1035
S 0.5019 0.7500 0.8965
S 0.6740 0.7500 0.4639
S 0.6875 0.2500 0.6938
S 0.8125 0.7500 0.1938
S 0.8260 0.2500 0.9639
S 0.9981 0.2500 0.3965

=====

two) Below is a relaxed structure of NaScZnS3, with properties calculated at the PBE level.

Unit cell a=6.7746 b=6.7746 c=10.0624 alpha=90.00 beta=90.00 gamma=147.89
Positions (direct):
Na 0.2504 0.7496 0.7500
Na 0.7496 0.2504 0.2500
Sc 0.0000 0.0000 0.0000
Sc 0.0000 0.0000 0.5000
Zn 0.4664 0.5336 0.2500
Zn 0.5336 0.4664 0.7500
S 0.0765 0.9235 0.2500
S 0.3700 0.6300 0.0598
S 0.3700 0.6300 0.4402
S 0.6300 0.3700 0.5598
S 0.6300 0.3700 0.9402
S 0.9235 0.0765 0.7500

=====

two) (65 meV/atom below the next structure)

=====

one) Below is a relaxed structure of TaNiPtPb, with properties calculated at the PBE level.

Unit cell a=4.5946 b=4.5946 c=4.5946 alpha=60.00 beta=60.00 gamma=60.00
Positions (direct):
Ta 0.0000 0.0000 0.0000
Ni 0.5000 0.5000 0.5000
Pt 0.7500 0.7500 0.7500
Pb 0.2500 0.2500 0.2500

=====

two) Below is a relaxed structure of TaNiPtPb, with properties calculated at the PBE level.

Unit cell a=4.6043 b=4.6043 c=4.6043 alpha=60.00 beta=60.00 gamma=60.00
Positions (direct):
Ta 0.0000 0.0000 0.0000
Ni 0.7500 0.7500 0.7500
Pt 0.2500 0.2500 0.2500
Pb 0.5000 0.5000 0.5000

=====

two) (37 meV/atom below the next structure)

=====

one) Below is a relaxed structure of LiHoFeSe3, with properties calculated at the PBE level.

Unit cell a=7.8292 b=3.9247 c=9.5461 alpha=90.00 beta=101.99 gamma=90.00
Positions (direct):
Li 0.1692 0.2500 0.1353
Li 0.8308 0.7500 0.8647
Ho 0.3365 0.7500 0.8422
Ho 0.6635 0.2500 0.1578
Fe 0.0677 0.2500 0.5847
Fe 0.9323 0.7500 0.4153
Se 0.0715 0.2500 0.8426
Se 0.2406 0.7500 0.5328
Se 0.4050 0.7500 0.1505
Se 0.5950 0.2500 0.8495
Se 0.7594 0.2500 0.4672
Se 0.9285 0.7500 0.1574

=====

two) Below is a relaxed structure of LiHoFeSe3, with properties calculated at the PBE level.

Unit cell a=13.3673 b=3.9016 c=10.9897 alpha=90.00 beta=90.00 gamma=90.00
Positions (direct):
Li 0.2492 0.2500 0.1230
Li 0.2508 0.7500 0.6230
Li 0.7492 0.2500 0.3770
Li 0.7508 0.7500 0.8770
Ho 0.0170 0.7500 0.8395
Ho 0.4830 0.2500 0.3395
Ho 0.5170 0.7500 0.6605
Ho 0.9830 0.2500 0.1605
Fe 0.0104 0.2500 0.5785
Fe 0.4896 0.7500 0.0785
Fe 0.5104 0.2500 0.9215
Fe 0.9896 0.7500 0.4215
Se 0.1013 0.2500 0.3844
Se 0.1167 0.7500 0.0669
Se 0.1422 0.2500 0.7325
Se 0.3578 0.7500 0.2325
Se 0.3833 0.2500 0.5669
Se 0.3987 0.7500 0.8844
Se 0.6013 0.2500 0.1156
Se 0.6167 0.7500 0.4331
Se 0.6422 0.2500 0.7675
Se 0.8578 0.7500 0.2675
Se 0.8833 0.2500 0.9331
Se 0.8987 0.7500 0.6156

=====

one) (12 meV/atom below the next structure)